A geometry-optimized Mn3GeO6 structure, computed with PBE+U.

```
Mn3GeO6
1.0
4.527 0.000 2.402
1.626 4.225 2.402
-0.085 -0.058 5.627
Mn Ge O
3 1 6
Direct
0.365 0.365 0.906 Mn
0.640 0.640 0.081 Mn
0.158 0.158 0.527 Mn
0.844 0.844 0.469 Ge
0.950 0.565 0.275 O
0.210 0.950 0.275 O
0.565 0.210 0.275 O
0.037 0.444 0.730 O
0.788 0.037 0.730 O
0.444 0.788 0.730 O
```

Results
Final energy   -7.29 eV per atom
Size of the total moment   1.30 μB per atom
Relative energy among the computed polymorphs   0 meV per atom